(1)
First-principles (GGA+U) data for a geometry-optimized Fe4O5F3 structure, as listed in Alexandria.

a = 4.682 Å, b = 7.695 Å, c = 7.651 Å
α = 105.34°, β = 91.06°, γ = 91.44°
Site moments in Bohr magnetons follow the coordinates.
Sites, in units of the cell vectors:
Fe 0.500 0.406 0.139  4.27
F 0.799 0.237 0.971  0.09
O 0.323 0.409 0.908  0.07
O 0.174 0.023 0.787  0.12
F 0.201 0.783 0.032  0.11
O 0.208 0.265 0.521  0.19
O 0.303 0.904 0.405  0.12
O 0.189 0.540 0.277  0.15
Fe 0.453 0.868 0.636  4.29
Fe 0.995 0.760 0.254  4.20
O 0.704 0.611 0.097  0.04
F 0.798 0.723 0.478  0.12
Fe 0.028 0.479 0.485  4.27
F 0.292 0.155 0.144  0.09
Fe 0.507 0.121 0.370  4.30
O 0.805 0.974 0.220  -0.02
O 0.696 0.344 0.342  0.14
O 0.301 0.638 0.653  0.05
O 0.681 0.842 0.843  0.01
Fe 0.508 0.624 0.873  3.15
Fe 0.055 0.247 0.751  4.33
F 0.697 0.095 0.606  0.11
F 0.818 0.457 0.714  0.11
Fe 0.965 0.994 0.993  3.20

Properties
As for the space group: P1, No. 1.

(2)
First-principles (GGA+U) data for a geometry-optimized Fe4OF7 structure, as listed in Alexandria.

a = 7.693 Å, b = 7.693 Å, c = 6.692 Å
α = 90.00°, β = 90.00°, γ = 130.29°
Site moments in Bohr magnetons follow the coordinates.
Sites, in units of the cell vectors:
F 0.230 0.293 0.500  0.09
F 0.626 0.374 0.279  0.07
Fe 0.375 0.625 0.474  4.42
Fe 0.625 0.375 0.974  4.42
F 0.484 0.044 0.001  0.09
F 0.770 0.707 0.000  0.09
F 0.293 0.230 0.000  0.09
F 0.122 0.878 0.314  0.05
F 0.707 0.770 0.500  0.09
Fe 0.874 0.126 0.508  3.82
Fe 0.865 0.616 0.510  3.81
O 0.628 0.372 0.697  0.26
F 0.374 0.626 0.779  0.07
F 0.878 0.122 0.206  0.06
F 0.878 0.122 0.814  0.05
F 0.122 0.878 0.706  0.06
Fe 0.126 0.874 0.008  3.82
Fe 0.135 0.384 0.010  3.81
O 0.372 0.628 0.197  0.26
F 0.044 0.484 0.501  0.09
F 0.956 0.516 0.001  0.09
F 0.516 0.956 0.501  0.09
Fe 0.616 0.865 0.010  3.81
Fe 0.384 0.135 0.510  3.81

Properties
As for the space group: Cmc2_1, No. 36.

(3)
First-principles (GGA+U) data for a geometry-optimized Fe4O5F3 structure, as listed in Alexandria.

a = 5.612 Å, b = 5.612 Å, c = 9.371 Å
α = 88.60°, β = 88.60°, γ = 66.00°
Site moments in Bohr magnetons follow the coordinates.
Sites, in units of the cell vectors:
Fe 0.031 0.031 0.254  4.37
O 0.344 0.344 0.900  0.13
O 0.646 0.145 0.646  0.26
Fe 0.487 0.487 0.732  4.34
O 0.145 0.646 0.646  0.26
O 0.656 0.656 0.100  0.13
F 0.664 0.158 0.156  0.12
Fe 0.000 0.500 0.000  4.26
F 0.336 0.842 0.844  0.12
O 0.161 0.161 0.093  0.17
O 0.839 0.839 0.907  0.17
O 0.345 0.345 0.404  0.18
F 0.854 0.854 0.392  0.13
O 0.354 0.855 0.354  0.26
Fe 0.500 0.000 0.000  4.26
F 0.158 0.664 0.156  0.12
Fe 0.513 0.513 0.268  4.34
Fe 0.500 0.000 0.500  4.32
F 0.842 0.336 0.844  0.12
Fe 0.000 0.500 0.500  4.32
Fe 0.969 0.969 0.746  4.37
O 0.855 0.354 0.354  0.26
O 0.655 0.655 0.596  0.18
F 0.146 0.146 0.608  0.13

Properties
As for the space group: C2/m, No. 12.

(4)
First-principles (GGA+U) data for a geometry-optimized Fe4O3F5 structure, as listed in Alexandria.

a = 4.670 Å, b = 7.725 Å, c = 7.726 Å
α = 105.09°, β = 90.52°, γ = 90.35°
Site moments in Bohr magnetons follow the coordinates.
Sites, in units of the cell vectors:
Fe 0.000 0.500 0.000  -3.91
F 0.217 0.024 0.261  0.04
O 0.798 0.722 0.978  0.05
F 0.796 0.227 0.451  0.03
Fe 0.000 0.000 0.500  -3.76
Fe 0.505 0.625 0.387  -1.02
O 0.693 0.834 0.350  -0.05
Fe 0.538 0.865 0.133  1.25
O 0.202 0.278 0.022  0.05
F 0.219 0.538 0.777  0.03
F 0.699 0.346 0.830  -0.01
Fe 0.495 0.375 0.613  -1.02
F 0.298 0.903 0.906  0.01
F 0.301 0.654 0.170  -0.01
Fe 0.951 0.742 0.757  4.33
O 0.696 0.588 0.594  0.17
F 0.204 0.773 0.549  0.03
F 0.702 0.097 0.094  0.01
Fe 0.049 0.258 0.243  4.33
F 0.783 0.976 0.739  0.04
F 0.781 0.462 0.223  0.03
O 0.304 0.412 0.406  0.17
O 0.307 0.166 0.650  -0.05
Fe 0.462 0.135 0.867  1.25

Properties
As for the space group: P-1, No. 2.

Computed energy above the most stable polymorph in this dataset, in the same sequence as the records: 0.0639; 0.0000; 0.0000; 0.3293 eV/atom.